[1]
First-principles (GGA-PBE) data for crystalline SrReSeN2 at its relaxed geometry, as listed in Alexandria.

Volume = 20.338 Å³/atom
Formation energy from raw total energies = 13.240 eV/f.u.
Total energy = -4.21 eV/atom
Symmetry = P4/mmm (123)

Lattice parameters (Å, degrees): 4.2259 4.2259 5.6943 90.00 90.00 90.00
Each line ends with the local moment (μB).
Atoms (fractional coordinates):
N: 0.5000 0.0000 0.0000  -0.04
N: 0.0000 0.5000 0.0000  -0.04
Sr: 0.0000 0.0000 0.0000  0.00
Re: 0.5000 0.5000 0.5000  0.11
Se: 0.0000 0.0000 0.5000  -0.04

---

[2]
First-principles (GGA-PBE) data for crystalline PmGaH at its relaxed geometry, as listed in Alexandria.

Volume = 20.639 Å³/atom
Total energy = -3.83 eV/atom
Symmetry = I4mm (107)

Lattice parameters (Å, degrees): 4.2656 4.2656 4.5472 117.97 117.97 90.00
Atoms (fractional coordinates):
Ga: 0.2205 0.2205 0.4410
Pm: 0.6527 0.6527 0.3053
H: 0.9768 0.9768 0.9537

---

[3]
First-principles (GGA-PBE) data for crystalline NbPb at its relaxed geometry, as listed in Alexandria.

Volume = 23.404 Å³/atom
Total energy = -6.54 eV/atom
Symmetry = P-1 (2)

Lattice parameters (Å, degrees): 3.4284 5.4606 5.7788 99.35 107.60 108.62
Atoms (fractional coordinates):
Pb: 0.2309 0.7880 0.6891
Pb: 0.7691 0.2120 0.3109
Nb: 0.0913 0.2975 0.8843
Nb: 0.9087 0.7025 0.1157

---

[4]
First-principles (GGA-PBE) data for crystalline DyZnFe at its relaxed geometry, as listed in Alexandria.

Volume = 18.825 Å³/atom
Total energy = -4.91 eV/atom
Symmetry = C2/m (12)

Lattice parameters (Å, degrees): 3.9441 5.0569 6.1588 103.18 108.68 90.00
Each line ends with the local moment (μB).
Atoms (fractional coordinates):
Zn: 0.5857 0.7599 0.1714  -0.01
Zn: 0.4143 0.2401 0.8286  -0.01
Dy: 0.8779 0.6874 0.7558  -0.14
Dy: 0.1221 0.3126 0.2442  -0.14
Fe: 0.7771 0.1134 0.5542  1.38
Fe: 0.2229 0.8866 0.4458  1.38

---

[5]
First-principles (GGA-PBE) data for crystalline Cs2Pr2PuO6 at its relaxed geometry, as listed in Alexandria.

Volume = 22.120 Å³/atom
Formation energy from raw total energies = -29.205 eV/f.u.
Total energy = -7.69 eV/atom
Symmetry = C2/m (12)

Lattice parameters (Å, degrees): 6.2986 6.2986 7.3528 97.96 97.96 119.78
Each line ends with the local moment (μB).
Atoms (fractional coordinates):
Cs: 0.8334 0.1666 0.0000  0.00
Cs: 0.1666 0.8334 0.0000  0.00
O: 0.3646 0.0454 0.6576  -0.04
O: 0.9546 0.6354 0.3424  -0.04
O: 0.0454 0.3646 0.6576  -0.04
O: 0.7460 0.7460 0.6585  -0.04
O: 0.2540 0.2540 0.3415  -0.04
O: 0.6354 0.9546 0.3424  -0.04
Pr: 0.3342 0.6658 0.5000  0.01
Pr: 0.6658 0.3342 0.5000  0.01
Pu: 0.0000 0.0000 0.5000  4.17

---

[6]
First-principles (GGA-PBE) data for crystalline Tm2Sn2BRh4 at its relaxed geometry, as listed in Alexandria.

Volume = 17.580 Å³/atom
Total energy = -6.44 eV/atom
Symmetry = I4/mmm (139)

Lattice parameters (Å, degrees): 6.0521 6.0521 6.0521 91.10 119.37 119.37
Atoms (fractional coordinates):
Sn: 0.5000 0.7500 0.2500
Sn: 0.5000 0.2500 0.7500
Tm: 0.0000 0.2932 0.2932
Tm: 0.0000 0.7068 0.7068
Rh: 0.0000 0.2400 0.7600
Rh: 0.0000 0.7600 0.2400
Rh: 0.5199 0.7600 0.7600
Rh: 0.4801 0.2400 0.2400
B: 0.0000 0.0000 0.0000

---

[7]
First-principles (GGA-PBE) data for crystalline Pr2PuBi at its relaxed geometry, as listed in Alexandria.

Volume = 32.809 Å³/atom
Total energy = -7.02 eV/atom
Symmetry = R-3m (166)

Lattice parameters (Å, degrees): 3.6819 3.6819 11.3787 80.69 80.69 60.00
Each line ends with the local moment (μB).
Atoms (fractional coordinates):
Pu: 0.5000 0.5000 0.5000  5.66
Pr: 0.2515 0.2515 0.2456  0.03
Pr: 0.7485 0.7485 0.7544  0.03
Bi: 0.0000 0.0000 0.0000  0.02

---

[8]
First-principles (GGA-PBE) data for crystalline ZnAg4Au at its relaxed geometry, as listed in Alexandria.

Volume = 17.432 Å³/atom
Total energy = -2.67 eV/atom
Symmetry = Pm (6)

Lattice parameters (Å, degrees): 2.9395 4.7411 7.6542 90.00 101.34 90.00
Atoms (fractional coordinates):
Ag: 0.9479 0.0027 0.1357
Ag: 0.0543 0.5027 0.3566
Ag: 0.2824 0.0027 0.8093
Ag: 0.7280 0.5027 0.7062
Au: 0.6158 0.0027 0.4738
Zn: 0.3906 0.5028 0.0296

---

[9]
First-principles (GGA-PBE) data for crystalline SrPd6Pb4 at its relaxed geometry, as listed in Alexandria.

Volume = 23.070 Å³/atom
Total energy = -4.61 eV/atom
Symmetry = I-42m (121)

Lattice parameters (Å, degrees): 7.1599 7.1599 7.1599 87.58 121.41 121.41
Atoms (fractional coordinates):
Pb: 0.5859 0.4738 0.4738
Pb: 0.0000 0.5262 0.1121
Pb: 0.0000 0.1121 0.5262
Pb: 0.4141 0.8879 0.8879
Pd: 0.5000 0.5000 0.0000
Pd: 0.0000 0.4258 0.7536
Pd: 0.6722 0.2464 0.2464
Pd: 0.0000 0.7536 0.4258
Pd: 0.3278 0.5742 0.5742
Pd: 0.5000 0.0000 0.5000
Sr: 0.0000 0.0000 0.0000

---

[10]
First-principles (GGA-PBE) data for crystalline NaCaPbBr6 at its relaxed geometry, as listed in Alexandria.

Volume = 33.569 Å³/atom
Formation energy from raw total energies = -11.041 eV/f.u.
Total energy = -3.12 eV/atom
Symmetry = P312 (149)

Lattice parameters (Å, degrees): 6.4033 7.3811 7.3811 120.00 90.00 90.00
Atoms (fractional coordinates):
Br: 0.2457 0.6680 0.0053
Br: 0.7543 0.6680 0.6627
Br: 0.2457 0.3373 0.3320
Br: 0.7543 0.9947 0.3320
Br: 0.7543 0.3373 0.0053
Br: 0.2457 0.9947 0.6627
Pb: 0.0000 0.3333 0.6667
Ca: 0.5000 0.6667 0.3333
Na: 0.5000 0.0000 0.0000

---

[11]
First-principles (GGA-PBE) data for crystalline Hf4Ga5Tc at its relaxed geometry, as listed in Alexandria.

Volume = 18.779 Å³/atom
Total energy = -6.78 eV/atom
Symmetry = I4 (79)

Lattice parameters (Å, degrees): 5.6328 6.4243 6.4243 78.92 64.00 64.00
Atoms (fractional coordinates):
Ga: 0.0406 0.6652 0.1558
Ga: 0.7058 0.1558 0.3348
Ga: 0.6953 0.0000 0.0000
Ga: 0.8616 0.3348 0.8442
Ga: 0.1964 0.8442 0.6652
Hf: 0.5066 0.6347 0.2339
Hf: 0.7405 0.7661 0.6347
Hf: 0.3753 0.3653 0.7661
Hf: 0.1414 0.2339 0.3653
Tc: 0.2467 0.0000 0.0000

---

[12]
First-principles (GGA-PBE) data for crystalline CaSi2Hg2 at its relaxed geometry, as listed in Alexandria.

Volume = 22.599 Å³/atom
Formation energy from raw total energies = 0.384 eV/f.u.
Total energy = -2.61 eV/atom
Symmetry = P4/mbm (127)

Lattice parameters (Å, degrees): 7.5106 7.5106 4.0063 90.00 90.00 90.00
Atoms (fractional coordinates):
Hg: 0.3202 0.1798 0.5000
Hg: 0.6798 0.8202 0.5000
Hg: 0.1798 0.6798 0.5000
Hg: 0.8202 0.3202 0.5000
Si: 0.8887 0.6113 0.0000
Si: 0.6113 0.1113 0.0000
Si: 0.1113 0.3887 0.0000
Si: 0.3887 0.8887 0.0000
Ca: 0.0000 0.0000 0.0000
Ca: 0.5000 0.5000 0.0000